# 1
Entry from Alexandria: a relaxed structure of CsLaAs2 (PBE-GGA). Values from VASP.

N(E_F), states/eV/atom: 1.94
Space-group type: No. 225

The structure in Quantum ESPRESSO input format:
```
&SYSTEM
  ibrav = 0, nat = 4, ntyp = 3
/
ATOMIC_SPECIES
Cs 132.91 Cs.upf
As 74.92 As.upf
La 138.91 La.upf
CELL_PARAMETERS angstrom
0.000 3.932 3.932
3.932 0.000 3.932
3.932 3.932 0.000
ATOMIC_POSITIONS angstrom
Cs 0.000 0.000 0.000
As 1.966 1.966 1.966
As 5.898 5.898 5.898
La 3.932 3.932 3.932
```

# 2
Entry from Alexandria: a relaxed structure of CsLa2As (PBE-GGA). Values from VASP.

N(E_F), states/eV/atom: 0.93
Space-group type: No. 122

The structure in Quantum ESPRESSO input format:
```
&SYSTEM
  ibrav = 0, nat = 8, ntyp = 3
/
ATOMIC_SPECIES
Cs 132.91 Cs.upf
As 74.92 As.upf
La 138.91 La.upf
CELL_PARAMETERS angstrom
-8.231 -4.327 0.095
4.084 -7.699 3.245
-2.638 -4.863 5.108
ATOMIC_POSITIONS angstrom
Cs 0.000 0.000 0.000
Cs -6.472 -7.601 3.437
As -2.074 -6.013 1.670
As -0.314 -9.287 5.012
La -4.681 -4.560 1.735
La 0.251 -6.891 3.324
La -3.230 -8.730 5.325
La -5.911 -13.596 6.512
```

# 3
Entry from Alexandria: a relaxed structure of CsLa3As (PBE-GGA). Values from VASP.

Relative energy among the computed polymorphs, meV per atom: 0
N(E_F), states/eV/atom: 2.05
Space-group type: No. 221

The structure in Quantum ESPRESSO input format:
```
&SYSTEM
  ibrav = 0, nat = 5, ntyp = 3
/
ATOMIC_SPECIES
Cs 132.91 Cs.upf
As 74.92 As.upf
La 138.91 La.upf
CELL_PARAMETERS angstrom
5.965 0.000 0.000
0.000 5.965 0.000
0.000 0.000 5.965
ATOMIC_POSITIONS angstrom
Cs 2.983 2.983 2.983
As 0.000 0.000 0.000
La 0.000 2.983 0.000
La 0.000 0.000 2.983
La 2.983 0.000 0.000
```

# 4
Entry from Alexandria: a relaxed structure of CsLaMg2As (PBE-GGA). Values from VASP.

N(E_F), states/eV/atom: 0.73
Space-group type: No. 123

The structure in Quantum ESPRESSO input format:
```
&SYSTEM
  ibrav = 0, nat = 5, ntyp = 4
/
ATOMIC_SPECIES
Cs 132.91 Cs.upf
As 74.92 As.upf
Mg 24.30 Mg.upf
La 138.91 La.upf
CELL_PARAMETERS angstrom
5.667 0.000 0.000
0.000 5.928 0.000
0.000 0.000 5.667
ATOMIC_POSITIONS angstrom
Cs 0.000 0.000 0.000
As 2.833 2.964 2.833
Mg 0.000 0.000 2.833
Mg 2.833 0.000 0.000
La 0.000 2.964 0.000
```

| no. | calculated formation energy (eV per atom) |
| --- | --- |
| 1 | -0.321 |
| 2 | -0.135 |
| 3 | -0.165 |
| 4 | 1.317 |